A relaxed structure of MgZnSO, computed with PBE.

As for the crystal system: orthorhombic. The energy above the most stable polymorph in this dataset is 0.47 eV/f.u.

Lattice parameters (Å, degrees): 6.0586 6.7037 7.1888 90.00 90.00 90.00
With the nearest neighbours (Å) after each atom.
Space group P2_12_12_1 (No. 19)
Unique sites:
1 Mg 0.1287 0.1988 0.0914  2 O 1.93
2 Zn 0.0680 0.2362 0.6491  1 O 1.88
3 S 0.0631 0.8338 0.1314  2 Zn 2.26-2.29, 2 Mg 2.48-2.50
4 O 0.0553 0.7790 0.6146  1 Zn 1.88, 2 Mg 1.93

---

A relaxed structure of Ba2TaPbS6, computed with PBE.

The calculation puts the spin magnetization at 0.001 μB per atom. As for the crystal system: cubic. The energy above the most stable polymorph in this dataset is 0.30 eV/f.u.

Lattice parameters (Å, degrees): 10.2694 10.2694 10.2694 90.00 90.00 90.00
With the nearest neighbours (Å) after each atom.
Space group Fm-3m (No. 225)
Unique sites:
1 Ba 0.2500 0.2500 0.2500  12 S 3.63
2 Ta 0.0000 0.0000 0.0000  6 S 2.43
3 Pb 0.0000 0.0000 0.5000  6 S 2.71
4 S 0.0000 0.0000 0.2364  1 Ta 2.43, 1 Pb 2.71

---

A relaxed structure of Tm2FeSi2WC, computed with PBE.

The calculation puts the spin magnetization at 0.083 μB per atom. As for the crystal system: monoclinic. The calculation puts the total energy at -108.44 eV per cell.

Lattice parameters (Å, degrees): 10.8068 3.7735 6.9163 90.00 126.94 90.00
With the nearest neighbours (Å) after each atom.
Space group Cm (No. 8)
Unique sites:
1 Tm 0.0000 0.0000 0.0000  2 C 2.55
2 Tm 0.1407 0.0000 0.5903  2 C 2.53
3 Fe 0.2758 0.5000 0.3805  1 C 1.83
4 Si 0.1968 0.5000 0.9645  1 Fe 2.46, 2 W 2.47, 1 Si 2.50
5 Si 0.4164 0.0000 0.6086  2 Fe 2.34, 1 W 2.49, 1 Si 2.50
6 W 0.3689 0.0000 0.2095  1 C 1.97
7 C 0.0808 0.5000 0.3022  1 Fe 1.83, 1 W 1.97